La4HgIr (PBE, optimized geometry); formation energy = 477 meV/atom; distance to the lowest polymorph of the same formula = 995 meV per atom; V = 171 Å³ per cell
1.0
0.000 4.408 4.408
4.408 0.000 4.408
4.408 4.408 0.000
La Hg Ir
4 1 1
Direct
0.376 0.376 0.376
0.376 0.376 0.871
0.376 0.871 0.376
0.871 0.376 0.376
0.000 0.000 0.000
0.750 0.750 0.750